(1)
# Ca2FePt (PBE, optimized geometry)
data_Ca2FePt
_chemical_formula_sum 'Ca4 Fe2 Pt2'
_cell_length_a 6.886
_cell_length_b 6.893
_cell_length_c 3.659
_cell_angle_alpha 90.00
_cell_angle_beta 90.00
_cell_angle_gamma 90.00
_space_group_name_H-M_alt 'C m m m'
_space_group_IT_number 65
_space_group_name_Hall '-C 2 2'
loop_
_atom_site_label
_atom_site_type_symbol
_atom_site_fract_x
_atom_site_fract_y
_atom_site_fract_z
Ca1 Ca 0.250 0.250 0.000
Fe1 Fe 0.000 0.000 0.500
Pt1 Pt 0.000 0.500 0.500
# - total DFT energy (no corrections) (eV/atom) = -4.7173
# - calculated density (g/cm3) = 6.3
# - ΔH_f (0 K) (meV per atom) = -91
# - size of the total moment (μB/cell) = 4.9

---

(2)
# Pr2YTl2Cd2 (PBE, optimized geometry)
data_Pr2YTl2Cd2
_chemical_formula_sum 'Pr6 Y3 Tl6 Cd6'
_cell_length_a 5.0150
_cell_length_b 5.0150
_cell_length_c 28.1087
_cell_angle_alpha 90.00
_cell_angle_beta 90.00
_cell_angle_gamma 120.00
_space_group_name_H-M_alt 'R -3 m'
_space_group_IT_number 166
_space_group_name_Hall '-R 3 2"'
loop_
_atom_site_label
_atom_site_type_symbol
_atom_site_fract_x
_atom_site_fract_y
_atom_site_fract_z
Pr1 Pr 0.0000 0.0000 0.1264
Y1 Y 0.0000 0.0000 0.0000
Tl1 Tl 0.0000 0.0000 0.2610
Cd1 Cd 0.0000 0.0000 0.3882
# - total DFT energy (no corrections) (eV/atom) = -3.4079
# - calculated density (g/cm3) = 8.2
# - ΔH_f (0 K) (meV per atom) = -181
# - size of the total moment (μB/cell) = 0.0

---

(3)
# BaPm3Pr2Te6 (PBE, optimized geometry)
data_BaPm3Pr2Te6
_chemical_formula_sum 'Ba2 Pm6 Pr4 Te12'
_cell_length_a 19.936
_cell_length_b 4.540
_cell_length_c 9.212
_cell_angle_alpha 90.00
_cell_angle_beta 103.99
_cell_angle_gamma 90.00
_space_group_name_H-M_alt 'C 1 2/m 1'
_space_group_IT_number 12
loop_
_space_group_symop_operation_xyz
'x,y,z'
'-x,-y,-z'
'-x,y,-z'
'x,-y,z'
'x+1/2,y+1/2,z'
'-x+1/2,-y+1/2,-z'
'-x+1/2,y+1/2,-z'
'x+1/2,-y+1/2,z'
loop_
_atom_site_label
_atom_site_type_symbol
_atom_site_fract_x
_atom_site_fract_y
_atom_site_fract_z
Ba1 Ba 0.000 0.000 0.000
Pm1 Pm 0.000 0.000 0.500
Pm2 Pm 0.164 0.500 0.821
Pr1 Pr 0.172 0.500 0.344
Te1 Te 0.002 0.500 0.267
Te2 Te 0.164 0.000 0.584
Te3 Te 0.174 0.000 0.082
# - total DFT energy (no corrections) (eV/atom) = -5.1736
# - ΔE_f (raw) (eV/atom) = -1.4583
# - calculated density (g/cm3) = 6.6
# - size of the total moment (μB/cell) = 0.0

---

(4)
# Sc2ZnAs (PBE, optimized geometry)
data_Sc2ZnAs
_chemical_formula_sum 'Sc4 Zn2 As2'
_cell_length_a 3.818
_cell_length_b 3.949
_cell_length_c 10.218
_cell_angle_alpha 90.00
_cell_angle_beta 90.00
_cell_angle_gamma 90.00
_space_group_name_H-M_alt 'A m m 2'
_space_group_IT_number 38
loop_
_space_group_symop_operation_xyz
'x,y,z'
'-x,-y,z'
'-x,y,z'
'x,-y,z'
'x,y+1/2,z+1/2'
'-x,-y+1/2,z+1/2'
'-x,y+1/2,z+1/2'
'x,-y+1/2,z+1/2'
loop_
_atom_site_label
_atom_site_type_symbol
_atom_site_fract_x
_atom_site_fract_y
_atom_site_fract_z
Sc1 Sc 0.000 0.000 0.000
Sc2 Sc 0.500 0.000 0.282
Zn1 Zn 0.500 0.000 0.553
As1 As 0.000 0.000 0.726
# - total DFT energy (no corrections) (eV/atom) = -5.4456
# - excess energy over the best structure of this formula in the dataset (meV per atom) = 0
# - calculated density (g/cm3) = 5.0
# - ΔH_f (0 K) (meV per atom) = -799
# - size of the total moment (μB/cell) = 0.0

---

> total DFT energy (no corrections) of number 2 (Pr2YTl2Cd2)?

-3.4079 eV/atom